Entry 1:
A plane-wave DFT calculation with PBE-GGA was carried out for a relaxed NpAlF6 crystal. Values from VASP.

Results
Its total DFT energy (no corrections) is -6.9278 eV per atom. The value obtained for the volume is 11.6 A^3/atom. The uncorrected formation energy comes out at -3.4389 eV/atom. The space group is R-3m (166).

Cell and atoms, written as Quantum ESPRESSO input:
```
&SYSTEM
  ibrav = 0, nat = 8, ntyp = 3
/
ATOMIC_SPECIES
Np 237.00 Np.upf
Al 26.98 Al.upf
F 19.00 F.upf
CELL_PARAMETERS angstrom
3.472 2.005 2.222
-3.472 2.005 2.222
0.000 -4.009 2.222
ATOMIC_POSITIONS crystal
Np 0.000 0.000 0.000
Al 0.500 0.500 0.500
F 0.214 0.214 0.570
F 0.214 0.570 0.214
F 0.430 0.786 0.786
F 0.570 0.214 0.214
F 0.786 0.430 0.786
F 0.786 0.786 0.430
```



Entry 2:
A plane-wave DFT calculation with PBE-GGA was carried out for a relaxed NpAl2TlF8 crystal. Values from VASP.

Results
Its total DFT energy (no corrections) is -5.9942 eV per atom. The value obtained for the volume is 18.7 A^3/atom. The uncorrected formation energy comes out at -2.8473 eV/atom. The space group is R-3 (148).

Cell and atoms, written as Quantum ESPRESSO input:
```
&SYSTEM
  ibrav = 0, nat = 12, ntyp = 4
/
ATOMIC_SPECIES
Np 237.00 Np.upf
Al 26.98 Al.upf
Tl 204.38 Tl.upf
F 19.00 F.upf
CELL_PARAMETERS angstrom
3.359 1.939 5.734
-3.359 1.939 5.734
0.000 -3.878 5.734
ATOMIC_POSITIONS crystal
Np 0.000 0.000 0.000
Al 0.247 0.247 0.247
Al 0.753 0.753 0.753
Tl 0.500 0.500 0.500
F 0.114 0.183 0.555
F 0.148 0.148 0.148
F 0.183 0.555 0.114
F 0.445 0.886 0.817
F 0.555 0.114 0.183
F 0.817 0.445 0.886
F 0.852 0.852 0.852
F 0.886 0.817 0.445
```



Entry 3:
A plane-wave DFT calculation with PBE-GGA was carried out for a relaxed Al2OF crystal. Values from VASP.

Results
Its total DFT energy (no corrections) is -4.8606 eV per atom. The value obtained for the volume is 13.9 A^3/atom. Its excess energy over the best structure of this formula in the dataset is 0.000 eV per atom. The uncorrected formation energy comes out at -1.2819 eV/atom. The space group is I-42d (122).

Cell and atoms, written as Quantum ESPRESSO input:
```
&SYSTEM
  ibrav = 0, nat = 8, ntyp = 3
/
ATOMIC_SPECIES
Al 26.98 Al.upf
O 16.00 O.upf
F 19.00 F.upf
CELL_PARAMETERS angstrom
-2.423 2.423 4.720
2.423 -2.423 4.720
2.423 2.423 -4.720
ATOMIC_POSITIONS crystal
Al 0.085 0.625 0.960
Al 0.375 0.335 0.460
Al 0.665 0.125 0.040
Al 0.875 0.915 0.540
O 0.000 0.000 0.000
O 0.750 0.250 0.500
F 0.250 0.750 0.500
F 0.500 0.500 0.000
```



Entry 4:
A plane-wave DFT calculation with PBE-GGA was carried out for a relaxed Al2OF crystal. Values from VASP.

Results
Its total DFT energy (no corrections) is -4.3072 eV per atom. The value obtained for the volume is 12.6 A^3/atom. Its excess energy over the best structure of this formula in the dataset is 0.553 eV per atom. The uncorrected formation energy comes out at -0.7285 eV/atom. The space group is Fm-3m (225).

Cell and atoms, written as Quantum ESPRESSO input:
```
&SYSTEM
  ibrav = 0, nat = 4, ntyp = 3
/
ATOMIC_SPECIES
Al 26.98 Al.upf
O 16.00 O.upf
F 19.00 F.upf
CELL_PARAMETERS angstrom
0.000 2.934 2.934
2.934 0.000 2.934
2.934 2.934 0.000
ATOMIC_POSITIONS crystal
Al 0.250 0.250 0.250
Al 0.750 0.750 0.750
O 0.000 0.000 0.000
F 0.500 0.500 0.500
```



Entry 5:
A plane-wave DFT calculation with PBE-GGA was carried out for a relaxed AlO2F crystal. Values from VASP.

Results
Its total DFT energy (no corrections) is -5.2211 eV per atom. The value obtained for the volume is 12.0 A^3/atom. Its excess energy over the best structure of this formula in the dataset is 0.000 eV per atom. The uncorrected formation energy comes out at -1.3385 eV/atom. The space group is I4_1/amd (141).

Cell and atoms, written as Quantum ESPRESSO input:
```
&SYSTEM
  ibrav = 0, nat = 8, ntyp = 3
/
ATOMIC_SPECIES
Al 26.98 Al.upf
O 16.00 O.upf
F 19.00 F.upf
CELL_PARAMETERS angstrom
-2.043 2.043 5.771
2.043 -2.043 5.771
2.043 2.043 -5.771
ATOMIC_POSITIONS crystal
Al 0.375 0.625 0.750
Al 0.625 0.375 0.250
O 0.000 0.500 0.500
O 0.500 0.000 0.000
O 0.500 0.500 0.000
O 0.500 0.500 0.500
F 0.125 0.875 0.250
F 0.875 0.125 0.750
```



Entry 6:
A plane-wave DFT calculation with PBE-GGA was carried out for a relaxed AlO2F crystal. Values from VASP.

Results
Its total DFT energy (no corrections) is -4.5635 eV per atom. The value obtained for the volume is 8.5 A^3/atom. Its excess energy over the best structure of this formula in the dataset is 0.658 eV per atom. The uncorrected formation energy comes out at -0.6809 eV/atom. The space group is Fm-3m (225).

Cell and atoms, written as Quantum ESPRESSO input:
```
&SYSTEM
  ibrav = 0, nat = 4, ntyp = 3
/
ATOMIC_SPECIES
Al 26.98 Al.upf
O 16.00 O.upf
F 19.00 F.upf
CELL_PARAMETERS angstrom
0.000 2.574 2.574
2.574 0.000 2.574
2.574 2.574 0.000
ATOMIC_POSITIONS crystal
Al 0.000 0.000 0.000
O 0.250 0.250 0.250
O 0.750 0.750 0.750
F 0.500 0.500 0.500
```



Entry 7:
A plane-wave DFT calculation with PBE-GGA was carried out for a relaxed AlOsO2F crystal. Values from VASP.

Results
Its total DFT energy (no corrections) is -6.2311 eV per atom. The value obtained for the volume is 10.6 A^3/atom. The uncorrected formation energy comes out at -0.8791 eV/atom. The space group is P4/mmm (123).

Cell and atoms, written as Quantum ESPRESSO input:
```
&SYSTEM
  ibrav = 0, nat = 5, ntyp = 4
/
ATOMIC_SPECIES
Al 26.98 Al.upf
Os 190.23 Os.upf
O 16.00 O.upf
F 19.00 F.upf
CELL_PARAMETERS angstrom
3.824 0.000 0.000
0.000 3.824 0.000
0.000 0.000 3.641
ATOMIC_POSITIONS crystal
Al 0.000 0.000 0.000
Os 0.500 0.500 0.500
O 0.000 0.500 0.000
O 0.500 0.000 0.000
F 0.000 0.000 0.500
```



Entry 8:
A plane-wave DFT calculation with PBE-GGA was carried out for a relaxed AlOsO2F crystal. Values from VASP.

Results
Its total DFT energy (no corrections) is -6.1470 eV per atom. The value obtained for the volume is 19.3 A^3/atom. The uncorrected formation energy comes out at -0.7950 eV/atom. The space group is P4/mmm (123).

Cell and atoms, written as Quantum ESPRESSO input:
```
&SYSTEM
  ibrav = 0, nat = 5, ntyp = 4
/
ATOMIC_SPECIES
Al 26.98 Al.upf
Os 190.23 Os.upf
O 16.00 O.upf
F 19.00 F.upf
CELL_PARAMETERS angstrom
3.673 0.000 0.000
0.000 3.673 0.000
0.000 0.000 7.168
ATOMIC_POSITIONS crystal
Al 0.000 0.000 0.000
Os 0.500 0.500 0.500
O 0.000 0.500 0.500
O 0.500 0.000 0.500
F 0.500 0.500 0.000
```



Entry 9:
A plane-wave DFT calculation with PBE-GGA was carried out for a relaxed AlPOF2 crystal. Values from VASP.

Results
Its total DFT energy (no corrections) is -5.1145 eV per atom. The value obtained for the volume is 11.1 A^3/atom. Its excess energy over the best structure of this formula in the dataset is 0.000 eV per atom. The uncorrected formation energy comes out at -1.5438 eV/atom. The space group is P4/mmm (123).

Cell and atoms, written as Quantum ESPRESSO input:
```
&SYSTEM
  ibrav = 0, nat = 5, ntyp = 4
/
ATOMIC_SPECIES
Al 26.98 Al.upf
P 30.97 P.upf
O 16.00 O.upf
F 19.00 F.upf
CELL_PARAMETERS angstrom
3.727 0.000 0.000
0.000 3.727 0.000
0.000 0.000 3.990
ATOMIC_POSITIONS crystal
Al 0.000 0.000 0.000
P 0.500 0.500 0.500
O 0.000 0.000 0.500
F 0.000 0.500 0.000
F 0.500 0.000 0.000
```



Entry 10:
A plane-wave DFT calculation with PBE-GGA was carried out for a relaxed AlPOF2 crystal. Values from VASP.

Results
Its total DFT energy (no corrections) is -4.5816 eV per atom. The value obtained for the volume is 14.1 A^3/atom. Its excess energy over the best structure of this formula in the dataset is 0.533 eV per atom. The uncorrected formation energy comes out at -1.0109 eV/atom. The space group is P4/mmm (123).

Cell and atoms, written as Quantum ESPRESSO input:
```
&SYSTEM
  ibrav = 0, nat = 5, ntyp = 4
/
ATOMIC_SPECIES
Al 26.98 Al.upf
P 30.97 P.upf
O 16.00 O.upf
F 19.00 F.upf
CELL_PARAMETERS angstrom
4.468 0.000 0.000
0.000 4.468 0.000
0.000 0.000 3.527
ATOMIC_POSITIONS crystal
Al 0.000 0.000 0.000
P 0.500 0.500 0.500
O 0.500 0.500 0.000
F 0.000 0.500 0.500
F 0.500 0.000 0.500
```